[1]
Ce2NpHg | PBE | optimized geometry

Properties
**Space-group type**: P4/mmm, No. 123
**N(E_F)**: 11.0 states/eV/f.u.
**Formation energy**: 58 meV/atom

a b c (Å): 3.133 3.133 9.856
angles (deg): 90.00 90.00 90.00
Sites, in units of the cell vectors:
Ce 0.000 0.000 0.240
Ce 0.000 0.000 0.760
Np 0.500 0.500 0.000
Hg 0.500 0.500 0.500

***

[2]
Tb7Nd2Y | PBE | optimized geometry

Properties
**Space-group type**: P-1, No. 2
**N(E_F)**: 16.6 states/eV/f.u.
**Formation energy**: 155 meV/atom

a b c (Å): 6.502 6.716 8.305
angles (deg): 78.81 70.75 87.50
Sites, in units of the cell vectors:
Tb 0.000 0.000 0.000
Tb 0.020 0.165 0.321
Tb 0.156 0.640 0.307
Tb 0.284 0.513 0.901
Tb 0.716 0.487 0.099
Tb 0.844 0.360 0.693
Tb 0.980 0.835 0.679
Nd 0.396 0.238 0.545
Nd 0.604 0.762 0.455
Y 0.500 0.000 0.000

***

[3]
Re2NiOs | PBE | optimized geometry

Properties
**Space-group type**: I-4m2, No. 119
**N(E_F)**: 3.2 states/eV/f.u.
**Formation energy**: 73 meV/atom

a b c (Å): 4.651 4.651 4.651
angles (deg): 131.22 131.22 71.47
Sites, in units of the cell vectors:
Re 0.000 0.000 0.000
Re 0.750 0.250 0.500
Ni 0.250 0.750 0.500
Os 0.500 0.500 0.000

***

[4]
Na3Ga4 | PBE | optimized geometry

Properties
**Space-group type**: Immm, No. 71
**N(E_F)**: 1.7 states/eV/f.u.
**Formation energy**: -76 meV/atom

a b c (Å): 10.432 10.432 10.432
angles (deg): 161.56 154.63 31.55
Sites, in units of the cell vectors:
Na 0.000 0.000 0.000
Na 0.298 0.798 0.500
Na 0.702 0.202 0.500
Ga 0.133 0.633 0.500
Ga 0.434 0.434 0.000
Ga 0.566 0.566 0.000
Ga 0.867 0.367 0.500

***

[5]
ScGeBr4 | PBE | optimized geometry

Properties
**Space-group type**: P1, No. 1
**Formation energy (no corrections)**: -1028 meV per atom
**N(E_F)**: 3.2 states/eV/f.u.

a b c (Å): 3.896 7.706 7.929
angles (deg): 64.71 75.95 75.51
Sites, in units of the cell vectors:
Sc 0.000 0.000 0.000
Ge 0.499 0.500 0.499
Br 0.089 0.198 0.621
Br 0.368 0.229 0.038
Br 0.632 0.770 0.963
Br 0.910 0.802 0.380

***

[6]
Sm2PuUP4 | PBE | optimized geometry

Properties
**Space-group type**: P2/m, No. 10
**N(E_F)**: 18.2 states/eV/f.u.
**Formation energy**: -1304 meV/atom

a b c (Å): 6.977 4.016 6.985
angles (deg): 90.00 109.37 90.00
Sites, in units of the cell vectors:
Sm 0.000 0.000 0.000
Sm 0.000 0.500 0.500
Pu 0.500 0.000 0.500
U 0.500 0.500 0.000
P 0.263 0.000 0.759
P 0.264 0.500 0.250
P 0.736 0.500 0.750
P 0.737 0.000 0.241

***

[7]
Rb2CdICl3 | PBE | optimized geometry

Properties
**Space-group type**: Immm, No. 71
**Formation energy (no corrections)**: -1419 meV per atom
**N(E_F)**: 0.0 states/eV/f.u.

a b c (Å): 9.207 9.207 9.207
angles (deg): 145.80 142.77 51.45
Sites, in units of the cell vectors:
Rb 0.147 0.147 0.000
Rb 0.853 0.853 0.000
Cd 0.500 0.500 0.000
I 0.000 0.500 0.500
Cl 0.341 0.341 0.000
Cl 0.500 0.000 0.500
Cl 0.659 0.659 0.000

***

[8]
Tm4Bi5C | PBE | optimized geometry

Properties
**Space-group type**: C2/m, No. 12
**N(E_F)**: 4.3 states/eV/f.u.
**Formation energy**: -407 meV/atom

a b c (Å): 9.416 9.416 8.366
angles (deg): 94.70 94.70 22.55
Sites, in units of the cell vectors:
Tm 0.030 0.030 0.320
Tm 0.376 0.376 0.380
Tm 0.624 0.624 0.620
Tm 0.970 0.970 0.680
Bi 0.145 0.145 0.935
Bi 0.203 0.203 0.351
Bi 0.500 0.500 0.000
Bi 0.797 0.797 0.649
Bi 0.855 0.855 0.065
C 0.500 0.500 0.500

***

[9]
NaSrCa2H | PBE | optimized geometry

Properties
**Space-group type**: P4/mmm, No. 123
**Total DFT energy (no corrections)**: -2.14 eV per atom
**N(E_F)**: 2.7 states/eV/f.u.

a b c (Å): 5.268 5.268 5.797
angles (deg): 90.00 90.00 90.00
Sites, in units of the cell vectors:
Na 0.000 0.000 0.000
Sr 0.500 0.500 0.000
Ca 0.000 0.500 0.500
Ca 0.500 0.000 0.500
H 0.500 0.500 0.500

***

[10]
PmCu3H6 | PBE | optimized geometry

Properties
**Space-group type**: P1, No. 1
**Total DFT energy (no corrections)**: -3.85 eV per atom

a b c (Å): 4.302 4.507 5.474
angles (deg): 94.05 101.50 110.38
Sites, in units of the cell vectors:
Pm 0.000 0.000 0.000
Cu 0.447 0.368 0.704
Cu 0.448 0.672 0.312
Cu 0.861 0.363 0.436
H 0.027 0.536 0.208
H 0.035 0.167 0.622
H 0.470 0.554 0.999
H 0.487 0.060 0.828
H 0.565 0.042 0.238
H 0.727 0.632 0.579

***

[11]
Pu2InHg9 | PBE | optimized geometry

Properties
**Space-group type**: P4/mmm, No. 123
**N(E_F)**: 32.9 states/eV/f.u.
**Formation energy**: -80 meV/atom

a b c (Å): 4.756 4.756 13.607
angles (deg): 90.00 90.00 90.00
Sites, in units of the cell vectors:
Pu 0.000 0.000 0.172
Pu 0.000 0.000 0.828
In 0.000 0.000 0.500
Hg 0.000 0.500 0.000
Hg 0.000 0.500 0.337
Hg 0.000 0.500 0.663
Hg 0.500 0.000 0.000
Hg 0.500 0.000 0.337
Hg 0.500 0.000 0.663
Hg 0.500 0.500 0.168
Hg 0.500 0.500 0.500
Hg 0.500 0.500 0.832

***

[12]
LiCuTcRh | PBE | optimized geometry

Properties
**Space-group type**: F-43m, No. 216
**N(E_F)**: 1.4 states/eV/f.u.
**Formation energy**: 86 meV/atom

a b c (Å): 4.205 4.205 4.205
angles (deg): 60.00 60.00 60.00
Sites, in units of the cell vectors:
Li 0.000 0.000 0.000
Cu 0.750 0.750 0.750
Tc 0.250 0.250 0.250
Rh 0.500 0.500 0.500